Arrangement one

Entry from OQMD via LeMat-Bulk: a geometry-optimized ZrSnBi structure (PBE).

Computed properties:
SG: F-43m, No. 216

a b c (Å): 7.155 7.155 7.155
angles (deg): 90.00 90.00 90.00
Fractional coordinates of all 12 atoms:
Zr  0.000  0.000  0.000
Zr  0.000  0.500  0.500
Zr  0.500  0.000  0.500
Zr  0.500  0.500  0.000
Sn  0.250  0.250  0.750
Sn  0.250  0.750  0.250
Sn  0.750  0.250  0.250
Sn  0.750  0.750  0.750
Bi  0.000  0.000  0.500
Bi  0.000  0.500  0.000
Bi  0.500  0.000  0.000
Bi  0.500  0.500  0.500

=====

Arrangement two

Entry from OQMD via LeMat-Bulk: a geometry-optimized ZrSnBi structure (PBE).

Computed properties:
SG: F-43m, No. 216

a b c (Å): 7.110 7.110 7.110
angles (deg): 90.00 90.00 90.00
Fractional coordinates of all 12 atoms:
Zr  0.000  0.000  0.000
Zr  0.000  0.500  0.500
Zr  0.500  0.000  0.500
Zr  0.500  0.500  0.000
Sn  0.250  0.250  0.250
Sn  0.250  0.750  0.750
Sn  0.750  0.250  0.750
Sn  0.750  0.750  0.250
Bi  0.250  0.250  0.750
Bi  0.250  0.750  0.250
Bi  0.750  0.250  0.250
Bi  0.750  0.750  0.750

=====

Bottom line: arrangement two, by a margin of 20.5 kJ/mol of atoms.

=====

Arrangement one

Entry from OQMD via LeMat-Bulk: a geometry-optimized SrBiW structure (PBE).

Computed properties:
SG: F-43m, No. 216

a b c (Å): 7.474 7.474 7.474
angles (deg): 90.00 90.00 90.00
Fractional coordinates of all 12 atoms:
Sr  0.000  0.000  0.000
Sr  0.000  0.500  0.500
Sr  0.500  0.000  0.500
Sr  0.500  0.500  0.000
Bi  0.250  0.250  0.750
Bi  0.250  0.750  0.250
Bi  0.750  0.250  0.250
Bi  0.750  0.750  0.750
W  0.250  0.250  0.250
W  0.250  0.750  0.750
W  0.750  0.250  0.750
W  0.750  0.750  0.250

=====

Arrangement two

Entry from OQMD via LeMat-Bulk: a geometry-optimized SrBiW structure (PBE).

Computed properties:
SG: F-43m, No. 216

a b c (Å): 7.311 7.311 7.311
angles (deg): 90.00 90.00 90.00
Fractional coordinates of all 12 atoms:
Sr  0.000  0.000  0.000
Sr  0.000  0.500  0.500
Sr  0.500  0.000  0.500
Sr  0.500  0.500  0.000
Bi  0.000  0.000  0.500
Bi  0.000  0.500  0.000
Bi  0.500  0.000  0.000
Bi  0.500  0.500  0.500
W  0.250  0.250  0.750
W  0.250  0.750  0.250
W  0.750  0.250  0.250
W  0.750  0.750  0.750

=====

Bottom line: arrangement two, by a margin of 50.2 kJ/mol of atoms.

=====

Arrangement one

Entry from OQMD via LeMat-Bulk: a geometry-optimized SrZrBi structure (PBE).

Computed properties:
SG: F-43m, No. 216

a b c (Å): 7.437 7.437 7.437
angles (deg): 90.00 90.00 90.00
Fractional coordinates of all 12 atoms:
Sr  0.000  0.000  0.000
Sr  0.000  0.500  0.500
Sr  0.500  0.000  0.500
Sr  0.500  0.500  0.000
Zr  0.000  0.000  0.500
Zr  0.000  0.500  0.000
Zr  0.500  0.000  0.000
Zr  0.500  0.500  0.500
Bi  0.250  0.250  0.250
Bi  0.250  0.750  0.750
Bi  0.750  0.250  0.750
Bi  0.750  0.750  0.250

=====

Arrangement two

Entry from OQMD via LeMat-Bulk: a geometry-optimized SrZrBi structure (PBE).

Computed properties:
SG: F-43m, No. 216

a b c (Å): 7.608 7.608 7.608
angles (deg): 90.00 90.00 90.00
Fractional coordinates of all 12 atoms:
Sr  0.000  0.000  0.000
Sr  0.000  0.500  0.500
Sr  0.500  0.000  0.500
Sr  0.500  0.500  0.000
Zr  0.250  0.250  0.250
Zr  0.250  0.750  0.750
Zr  0.750  0.250  0.750
Zr  0.750  0.750  0.250
Bi  0.250  0.250  0.750
Bi  0.250  0.750  0.250
Bi  0.750  0.250  0.250
Bi  0.750  0.750  0.750

=====

Bottom line: arrangement one, by a margin of 63.2 kJ/mol of atoms.